# 1
VASP calculation (PBE) on an optimized crystal structure of Th2MgTaN5.

abc: 3.4091 7.0616 10.4884
angles: 90.00 90.00 103.97
Closest atoms and distances in Å follow each position.
Sites, in units of the cell vectors:
Mg1 0.5307 0.0613 0.9666  3 N 2.03-2.08
Mg2 0.4693 0.9387 0.4666  3 N 2.03-2.08
N1 0.2779 0.5557 0.6591  2 Ta 2.36, 3 Th 2.38-2.50
N2 0.6350 0.2701 0.5033  1 Ta 2.15, 1 Mg 2.30
N3 0.3028 0.6056 0.3902  2 Ta 2.09
N4 0.4978 0.9957 0.7734  1 Mg 2.08
N5 0.0678 0.1355 0.0593  1 Ta 2.01, 2 Mg 2.03
N6 0.9322 0.8645 0.5593  1 Ta 2.01, 2 Mg 2.03
N7 0.5022 0.0043 0.2734  1 Mg 2.08
N8 0.6972 0.3944 0.8902  2 Ta 2.09
N9 0.3650 0.7299 0.0033  1 Ta 2.15, 1 Mg 2.30
N10 0.7221 0.4443 0.1591  2 Ta 2.36, 3 Th 2.38-2.50
Th1 0.8656 0.7312 0.7910  6 N 2.49-2.60
Th2 0.8952 0.7904 0.1771  5 N 2.38-2.53
Th3 0.1048 0.2096 0.6771  5 N 2.38-2.53
Th4 0.1344 0.2688 0.2910  6 N 2.49-2.60
Ta1 0.2084 0.4169 0.0040  4 N 2.01-2.15
Ta2 0.7916 0.5831 0.5040  4 N 2.01-2.15

theoretical density = 10.02 g/cm³
V = 245.0 Å³ per cell
magnetic moment = 0.000 μB per formula unit

=====

# 2
VASP calculation (PBE) on an optimized crystal structure of MgTaTi2N.

abc: 4.1552 4.1552 4.3552
angles: 90.00 90.00 90.00
Closest atoms and distances in Å follow each position.
Sites, in units of the cell vectors:
Ti1 0.5000 0.0000 0.0000  2 N 2.08
Ti2 0.0000 0.5000 0.0000  2 N 2.08
Ta1 0.0000 0.0000 0.5000  2 N 2.18
N1 0.0000 0.0000 0.0000  4 Ti 2.08, 2 Ta 2.18
Mg1 0.5000 0.5000 0.5000  4 Ta 2.94, 8 Ti 3.01

theoretical density = 6.96 g/cm³
V = 75.2 Å³ per cell
magnetic moment = 0.000 μB per formula unit

=====

# 3
VASP calculation (PBE) on an optimized crystal structure of Mg3TaTi2N6.

abc: 3.0489 6.1724 6.8792
angles: 103.97 102.80 90.00
Closest atoms and distances in Å follow each position.
Sites, in units of the cell vectors:
N1 0.3290 0.4267 0.6580  3 Ti 2.06-2.10, 3 Mg 2.21-2.23
N2 0.3372 0.9082 0.6744  1 Ta 2.12, 2 Ti 2.14, 3 Mg 2.18-2.23
N3 0.0022 0.2421 0.0044  2 Ta 2.13, 1 Ti 2.19, 3 Mg 2.21-2.23
N4 0.6710 0.5733 0.3420  3 Ti 2.06-2.10, 3 Mg 2.21-2.23
N5 0.9978 0.7579 0.9956  2 Ta 2.13, 1 Ti 2.19, 3 Mg 2.21-2.23
N6 0.6628 0.0918 0.3256  1 Ta 2.12, 2 Ti 2.14, 3 Mg 2.18-2.23
Mg1 0.1694 0.8322 0.3387  6 N 2.18-2.23
Mg2 0.8306 0.1678 0.6613  6 N 2.18-2.23
Mg3 0.5000 0.5000 0.0000  6 N 2.21-2.23
Ti1 0.8296 0.6610 0.6591  6 N 2.06-2.19
Ti2 0.1704 0.3390 0.3409  6 N 2.06-2.19
Ta1 0.5000 0.0000 0.0000  6 N 2.12-2.13

theoretical density = 5.89 g/cm³
V = 122.3 Å³ per cell
magnetic moment = 0.000 μB per formula unit

=====

| no. | raw formation energy (eV/atom) |
| --- | --- |
| 1 | -1.264 |
| 2 | -0.567 |
| 3 | -1.268 |